Here is ZnHgPb after structural relaxation from Alexandria via LeMat-Bulk. Energies are from PBE-GGA.

abc: 6.897 6.897 5.799
angles: 105.11 105.11 34.28
Sites, in units of the cell vectors:
1 Zn 0.220 0.220 0.351
2 Zn 0.780 0.780 0.649
3 Hg 0.440 0.440 0.723
4 Hg 0.560 0.560 0.277
5 Pb 0.141 0.141 0.821
6 Pb 0.859 0.859 0.179

Symmetry: C2/m
Density (Mg/m³): 10.514
E (eV per cell): -10.19
Formation energy from the elements (eV/atom): 0.064